[1]
Compound: CsTbVBr6
Source: Alexandria via LeMat-Bulk
Functional: PBE
Structure: optimized geometry

Computed properties:
ρ: 3.78 g/cm³
raw formation energy: -13.7 eV/f.u.
total DFT energy (no corrections): -4.257 eV per atom

Unit cell a=7.0819 b=7.0819 c=8.3087 alpha=90.00 beta=90.00 gamma=120.00
Space group P312 (No. 149)
Unique sites:
Cs 0.0000 0.0000 0.0000
Tb 0.6667 0.3333 0.5000
V 0.3333 0.6667 0.5000
Br 0.0179 0.3772 0.6895


[2]
Compound: Ga2Ag7
Source: Alexandria via LeMat-Bulk
Functional: PBE
Structure: optimized geometry

Computed properties:
ρ: 9.34 g/cm³
DOS at the Fermi energy: 1.9 states/eV per cell
total DFT energy (no corrections): -2.894 eV per atom

Unit cell a=5.0915 b=5.0915 c=7.0860 alpha=90.00 beta=90.00 gamma=120.00
Space group P-31m (No. 162)
Unique sites:
Ga 0.3333 0.6667 0.0000
Ag 0.0000 0.0000 0.0000
Ag 0.0000 0.3365 0.6692


[3]
Compound: Nd3InGe2
Source: Alexandria via LeMat-Bulk
Functional: PBE
Structure: optimized geometry

Computed properties:
ρ: 7.07 g/cm³
DOS at the Fermi energy: 9.2 states/eV per cell
total DFT energy (no corrections): -5.045 eV per atom

Unit cell a=4.4703 b=4.5005 c=16.1751 alpha=90.00 beta=90.00 gamma=90.00
Space group Immm (No. 71)
Unique sites:
Nd 0.0000 0.0000 0.0000
Nd 0.0000 0.5000 0.1748
In 0.0000 0.0000 0.5000
Ge 0.0000 0.5000 0.3615


[4]
Compound: TbMg4In
Source: Alexandria via LeMat-Bulk
Functional: PBE
Structure: optimized geometry

Computed properties:
ρ: 4.09 g/cm³
DOS at the Fermi energy: 15.5 states/eV per cell
total DFT energy (no corrections): -2.305 eV per atom

Unit cell a=8.4465 b=8.4465 c=8.4465 alpha=90.00 beta=90.00 gamma=90.00
Space group F-43m (No. 216)
Unique sites:
Tb 0.0000 0.0000 0.0000
Mg 0.1250 0.1250 0.3750
In 0.2500 0.2500 0.7500


no.,magnetic moment (μB/f.u.)
1,3.0
2,0.0
3,0.0
4,0.0